(1)
VASP calculation (PBE) on a relaxed structure of SmGdB.

The crystal system is cubic.

The space group is F-43m (No. 216) and the conventional cell measures 6.495, 6.495 and 6.495 Å, with angles of 90.00, 90.00 and 90.00 degrees. The distinct sites, in fractional coordinates, are Sm at (0.000, 0.000, 0.000), Gd at (0.000, 0.000, 0.500) and B at (0.250, 0.250, 0.750).

(2)
VASP calculation (PBE) on a relaxed structure of Sm2Gd2B3.

The crystal system is orthorhombic.

The space group is Cmmm (No. 65) and the conventional cell measures 3.409, 21.005 and 5.079 Å, with angles of 90.00, 90.00 and 90.00 degrees. The distinct sites, in fractional coordinates, are Sm at (0.000, 0.125, 0.000), Gd at (0.000, 0.313, 0.500), B at (0.000, 0.000, 0.000) and B at (0.000, 0.258, 0.000).

(3)
VASP calculation (PBE) on a relaxed structure of GdSnB4.

The crystal system is hexagonal.

The space group is P6/mmm (No. 191) and the conventional cell measures 3.2336, 3.2336 and 8.2656 Å, with angles of 90.00, 90.00 and 120.00 degrees. The distinct sites, in fractional coordinates, are Gd at (0.0000, 0.0000, 0.0000), Sn at (0.0000, 0.0000, 0.5000) and B at (0.3333, 0.6667, 0.2361).

(4)
VASP calculation (PBE) on a relaxed structure of GdSnB.

The crystal system is cubic.

The space group is F-43m (No. 216) and the conventional cell measures 6.247, 6.247 and 6.247 Å, with angles of 90.00, 90.00 and 90.00 degrees. The distinct sites, in fractional coordinates, are Gd at (0.000, 0.000, 0.000), Sn at (0.000, 0.000, 0.500) and B at (0.250, 0.250, 0.250).

(5)
VASP calculation (PBE) on a relaxed structure of GdSnB4.

The crystal system is orthorhombic.

The space group is Immm (No. 71) and the conventional cell measures 3.224, 5.333 and 8.407 Å, with angles of 90.00, 90.00 and 90.00 degrees. The distinct sites, in fractional coordinates, are Gd at (0.000, 0.000, 0.000), Sn at (0.000, 0.000, 0.500) and B at (0.000, 0.328, 0.259).

(6)
VASP calculation (PBE) on a relaxed structure of GdSnB.

The crystal system is cubic.

The space group is F-43m (No. 216) and the conventional cell measures 6.687, 6.687 and 6.687 Å, with angles of 90.00, 90.00 and 90.00 degrees. The distinct sites, in fractional coordinates, are Gd at (0.000, 0.000, 0.000), Sn at (0.250, 0.250, 0.250) and B at (0.250, 0.250, 0.750).

(7)
VASP calculation (PBE) on a relaxed structure of GdSnB.

The crystal system is cubic.

The space group is F-43m (No. 216) and the conventional cell measures 6.612, 6.612 and 6.612 Å, with angles of 90.00, 90.00 and 90.00 degrees. The distinct sites, in fractional coordinates, are Gd at (0.000, 0.000, 0.000), Sn at (0.250, 0.250, 0.750) and B at (0.000, 0.000, 0.500).

(8)
VASP calculation (PBE) on a relaxed structure of SrGdB4.

The crystal system is hexagonal.

The space group is P6/mmm (No. 191) and the conventional cell measures 3.3253, 3.3253 and 8.2950 Å, with angles of 90.00, 90.00 and 120.00 degrees. The distinct sites, in fractional coordinates, are Sr at (0.0000, 0.0000, 0.0000), Gd at (0.0000, 0.0000, 0.5000) and B at (0.3333, 0.6667, 0.2671).

(9)
VASP calculation (PBE) on a relaxed structure of SrGdB4.

The crystal system is orthorhombic.

The space group is Immm (No. 71) and the conventional cell measures 3.143, 7.451 and 7.661 Å, with angles of 90.00, 90.00 and 90.00 degrees. The distinct sites, in fractional coordinates, are Sr at (0.000, 0.000, 0.000), Gd at (0.000, 0.000, 0.500) and B at (0.000, 0.271, 0.247).

(10)
VASP calculation (PBE) on a relaxed structure of GdTaB4.

The crystal system is hexagonal.

The space group is P6/mmm (No. 191) and the conventional cell measures 3.1484, 3.1484 and 7.3501 Å, with angles of 90.00, 90.00 and 120.00 degrees. The distinct sites, in fractional coordinates, are Gd at (0.0000, 0.0000, 0.0000), Ta at (0.0000, 0.0000, 0.5000) and B at (0.3333, 0.6667, 0.2750).

(11)
VASP calculation (PBE) on a relaxed structure of GdTaB.

The crystal system is cubic.

The space group is F-43m (No. 216) and the conventional cell measures 5.993, 5.993 and 5.993 Å, with angles of 90.00, 90.00 and 90.00 degrees. The distinct sites, in fractional coordinates, are Gd at (0.000, 0.000, 0.000), Ta at (0.000, 0.000, 0.500) and B at (0.250, 0.250, 0.250).

(12)
VASP calculation (PBE) on a relaxed structure of Tb4Gd4B3.

The crystal system is triclinic.

The space group is P-1 (No. 2) and the conventional cell measures 3.527, 6.307 and 13.167 Å, with angles of 88.13, 83.04 and 74.67 degrees. The distinct sites, in fractional coordinates, are Tb at (0.054, 0.263, 0.185), Tb at (0.216, 0.686, 0.326), Gd at (0.164, 0.240, 0.928), Gd at (0.353, 0.778, 0.568), B at (0.000, 0.500, 0.500) and B at (0.490, 0.567, 0.945).

(13)
VASP calculation (PBE) on a relaxed structure of Tb2Gd2B3.

The crystal system is orthorhombic.

The space group is Cmmm (No. 65) and the conventional cell measures 3.362, 20.063 and 5.318 Å, with angles of 90.00, 90.00 and 90.00 degrees. The distinct sites, in fractional coordinates, are Tb at (0.000, 0.128, 0.000), Gd at (0.000, 0.318, 0.500), B at (0.000, 0.000, 0.000) and B at (0.000, 0.262, 0.000).

(14)
VASP calculation (PBE) on a relaxed structure of TbGdB4.

The crystal system is orthorhombic.

The space group is Immm (No. 71) and the conventional cell measures 3.307, 5.727 and 7.831 Å, with angles of 90.00, 90.00 and 90.00 degrees. The distinct sites, in fractional coordinates, are Tb at (0.000, 0.000, 0.000), Gd at (0.000, 0.000, 0.500) and B at (0.000, 0.333, 0.250).

(15)
VASP calculation (PBE) on a relaxed structure of TbGdB4.

The crystal system is hexagonal.

The space group is P6/mmm (No. 191) and the conventional cell measures 3.3083, 3.3083 and 7.8268 Å, with angles of 90.00, 90.00 and 120.00 degrees. The distinct sites, in fractional coordinates, are Tb at (0.0000, 0.0000, 0.0000), Gd at (0.0000, 0.0000, 0.5000) and B at (0.3333, 0.6667, 0.2484).

(16)
VASP calculation (PBE) on a relaxed structure of GdTc2B2.

The crystal system is tetragonal.

The space group is I4/mmm (No. 139) and the conventional cell measures 3.700, 3.700 and 9.887 Å, with angles of 90.00, 90.00 and 90.00 degrees. The distinct sites, in fractional coordinates, are Gd at (0.000, 0.000, 0.000), Tc at (0.000, 0.500, 0.250) and B at (0.000, 0.000, 0.398).

(17)
VASP calculation (PBE) on a relaxed structure of GdTmB.

The crystal system is cubic.

The space group is F-43m (No. 216) and the conventional cell measures 6.384, 6.384 and 6.384 Å, with angles of 90.00, 90.00 and 90.00 degrees. The distinct sites, in fractional coordinates, are Gd at (0.000, 0.000, 0.000), Tm at (0.000, 0.000, 0.500) and B at (0.250, 0.250, 0.250).

(18)
VASP calculation (PBE) on a relaxed structure of GdTmB4.

The crystal system is orthorhombic.

The space group is Immm (No. 71) and the conventional cell measures 3.288, 5.694 and 7.704 Å, with angles of 90.00, 90.00 and 90.00 degrees. The distinct sites, in fractional coordinates, are Gd at (0.000, 0.000, 0.000), Tm at (0.000, 0.000, 0.500) and B at (0.000, 0.333, 0.249).

(19)
VASP calculation (PBE) on a relaxed structure of GdTmB4.

The crystal system is hexagonal.

The space group is P6/mmm (No. 191) and the conventional cell measures 3.2850, 3.2850 and 7.7008 Å, with angles of 90.00, 90.00 and 120.00 degrees. The distinct sites, in fractional coordinates, are Gd at (0.0000, 0.0000, 0.0000), Tm at (0.0000, 0.0000, 0.5000) and B at (0.3333, 0.6667, 0.2575).

(20)
VASP calculation (PBE) on a relaxed structure of Gd4Tm4B3.

The crystal system is triclinic.

The space group is P1 (No. 1) and the conventional cell measures 3.784, 4.541 and 15.631 Å, with angles of 93.88, 93.05 and 95.12 degrees. The distinct sites, in fractional coordinates, are Gd at (0.000, 0.000, 0.000), Gd at (0.039, 0.546, 0.855), Gd at (0.467, 0.982, 0.504), Gd at (0.573, 0.563, 0.352), Tm at (0.048, 0.046, 0.224), Tm at (0.502, 0.052, 0.761), Tm at (0.538, 0.493, 0.094), Tm at (0.992, 0.499, 0.631), B at (0.055, 0.407, 0.465), B at (0.519, 0.271, 0.927) and B at (0.985, 0.138, 0.390).

no.,uncorrected energy (eV per atom),V (Å³ per atom)
1,-5.22,22.83
2,-4.77,25.98
3,-5.82,12.47
4,-4.99,20.31
5,-5.95,12.05
6,-4.31,24.92
7,-4.18,24.09
8,-5.66,13.24
9,-5.73,14.95
10,-7.92,10.52
11,-7.36,17.94
12,-5.19,25.49
13,-4.76,25.63
14,-6.51,12.36
15,-6.51,12.36
16,-8.03,13.53
17,-5.20,21.68
18,-6.54,12.02
19,-6.54,11.99
20,-5.04,24.22